Below is an optimized crystal structure of AlHgTe2, with properties calculated at the GGA-PBE level.

The structure in CIF format:
```
data_AlHgTe2
_chemical_formula_sum 'Al4 Hg4 Te8'
_symmetry_space_group_name_H-M 'F -4 3 m'
_symmetry_Int_Tables_number 216
_symmetry_space_group_name_Hall 'F -4 2 3'
_cell_length_a 7.4936
_cell_length_b 7.4936
_cell_length_c 7.4936
_cell_angle_alpha 90.00
_cell_angle_beta 90.00
_cell_angle_gamma 90.00
loop_
_atom_site_label
_atom_site_fract_x
_atom_site_fract_y
_atom_site_fract_z
Al1 0.0000 0.0000 0.0000
Hg1 0.2500 0.2500 0.2500
Te1 0.0000 0.0000 0.5000
Te2 0.2500 0.2500 0.7500
```



Below is an optimized crystal structure of TmAl4Hg3, with properties calculated at the GGA-PBE level.

The structure in CIF format:
```
data_TmAl4Hg3
_chemical_formula_sum 'Tm2 Al8 Hg6'
_symmetry_space_group_name_H-M 'I 4/m m m'
_symmetry_Int_Tables_number 139
_symmetry_space_group_name_Hall '-I 4 2'
_cell_length_a 5.7815
_cell_length_b 5.7815
_cell_length_c 11.3211
_cell_angle_alpha 90.00
_cell_angle_beta 90.00
_cell_angle_gamma 90.00
loop_
_atom_site_label
_atom_site_fract_x
_atom_site_fract_y
_atom_site_fract_z
Tm1 0.0000 0.0000 0.0000
Al1 0.0000 0.0000 0.2684
Al2 0.0000 0.5000 0.0000
Hg1 0.0000 0.0000 0.5000
Hg2 0.0000 0.5000 0.2500
```



Below is an optimized crystal structure of TmAlHg, with properties calculated at the GGA-PBE level.

The structure in CIF format:
```
data_TmAlHg
_chemical_formula_sum 'Tm4 Al4 Hg4'
_symmetry_space_group_name_H-M 'F -4 3 m'
_symmetry_Int_Tables_number 216
_symmetry_space_group_name_Hall 'F -4 2 3'
_cell_length_a 6.8666
_cell_length_b 6.8666
_cell_length_c 6.8666
_cell_angle_alpha 90.00
_cell_angle_beta 90.00
_cell_angle_gamma 90.00
loop_
_atom_site_label
_atom_site_fract_x
_atom_site_fract_y
_atom_site_fract_z
Tm1 0.0000 0.0000 0.0000
Al1 0.2500 0.2500 0.7500
Hg1 0.2500 0.2500 0.2500
```



The calculation returns the following E values, one per record and in order: -37.05, -36.95, -32.55 eV/cell.